First-principles (GGA+U) data for a geometry-optimized KNiF3 structure, as listed in the Alexandria database.

a b c (Å): 4.065 4.065 4.065
angles (deg): 90.00 90.00 90.00
Sites, in units of the cell vectors:
K  0.000  0.000  0.000
Ni  0.500  0.500  0.500
F  0.000  0.500  0.500
F  0.500  0.000  0.500
F  0.500  0.500  0.000

Output
Final energy = -0.318 Ry/atom
N(E_F) = 0.000 states/eV per atom
SG = No. 221
M_tot = 2.0 μB/cell
ρ = 3.8 Mg/m³